No. 1
Compound: Tb6Te3PC2
Source: Alexandria via LeMat-Bulk
Functional: PBE
Structure: optimized geometry

The structure in POSCAR format:
```
Tb6Te3PC2
1.0
3.430 -5.938 0.000
3.430 5.938 0.000
-2.290 0.000 7.041
Tb Te P C
6 3 1 2
Cartesian
-0.081 2.117 5.655 Tb
0.988 0.000 1.359 Tb
-0.081 -2.117 5.655 Tb
4.651 2.117 1.386 Tb
3.582 0.000 5.682 Tb
4.651 -2.117 1.386 Tb
-1.145 0.000 3.521 Te
2.285 1.897 3.521 Te
2.285 -1.897 3.521 Te
3.430 0.000 0.000 P
3.430 3.951 0.000 C
3.430 -3.951 0.000 C
```

Output
ΔE_f (raw): -1.0950 eV/atom

---

No. 2
Compound: TlGeSb2Te
Source: Alexandria via LeMat-Bulk
Functional: PBE
Structure: optimized geometry

The structure in POSCAR format:
```
TlGeSb2Te
1.0
5.435 0.000 0.000
0.000 5.435 0.000
0.000 0.000 5.566
Tl Ge Sb Te
1 1 2 1
Cartesian
0.000 0.000 0.000 Tl
2.718 2.718 2.783 Ge
0.000 2.718 2.783 Sb
2.718 0.000 2.783 Sb
2.718 2.718 0.000 Te
```

Output
ΔE_f (raw): 0.3921 eV/atom

---

No. 3
Compound: BeNi2Au
Source: Alexandria via LeMat-Bulk
Functional: PBE
Structure: optimized geometry

The structure in POSCAR format:
```
BeNi2Au
1.0
2.453 -4.394 0.000
2.453 4.394 0.000
-1.334 0.000 2.296
Be Ni Au
1 2 1
Cartesian
0.000 0.000 0.000 Be
0.559 2.197 1.148 Ni
0.559 -2.197 1.148 Ni
2.453 0.000 0.000 Au
```

Output
Formation energy from the elements: 0.08 eV/atom

---

No. 4
Compound: SrPaPt2O6
Source: Alexandria via LeMat-Bulk
Functional: PBE
Structure: optimized geometry

The structure in POSCAR format:
```
SrPaPt2O6
1.0
2.893 1.670 5.742
-2.893 1.670 5.742
0.000 -3.340 5.742
Sr Pa Pt O
1 1 2 6
Cartesian
0.000 0.000 0.000 Sr
0.000 0.000 8.613 Pa
0.000 0.000 4.146 Pt
0.000 0.000 13.079 Pt
-1.782 -0.047 7.325 O
-0.851 -1.566 9.901 O
0.931 -1.520 7.325 O
-0.931 1.520 9.901 O
0.851 1.566 7.325 O
1.782 0.047 9.901 O
```

Output
ΔE_f (raw): -1.6456 eV/atom

---

No. 5
Compound: HoTlAs2
Source: Alexandria via LeMat-Bulk
Functional: PBE
Structure: optimized geometry

The structure in POSCAR format:
```
HoTlAs2
1.0
2.107 1.217 6.833
-2.107 1.217 6.833
0.000 -2.433 6.833
Ho Tl As
1 1 2
Cartesian
0.000 0.000 0.000 Ho
0.000 0.000 10.250 Tl
0.000 0.000 5.271 As
0.000 0.000 15.229 As
```

Output
Formation energy from the elements: -0.45 eV/atom

---

No. 6
Compound: Ga8ReIr2
Source: Alexandria via LeMat-Bulk
Functional: PBE
Structure: optimized geometry

The structure in POSCAR format:
```
Ga8ReIr2
1.0
5.464 -4.415 0.000
5.464 4.415 0.000
-1.756 0.000 4.315
Ga Re Ir
8 1 2
Cartesian
0.235 0.000 1.451 Ga
2.261 2.010 4.202 Ga
3.308 0.000 1.875 Ga
6.911 2.010 0.113 Ga
2.261 -2.010 4.202 Ga
5.865 0.000 2.439 Ga
6.911 -2.010 0.113 Ga
8.938 0.000 2.864 Ga
5.464 0.000 0.000 Re
0.347 0.000 4.046 Ir
8.826 0.000 0.268 Ir
```

Output
Formation energy from the elements: -0.22 eV/atom

---

No. 7
Compound: Ga4BiAs3
Source: Alexandria via LeMat-Bulk
Functional: PBE
Structure: optimized geometry

The structure in POSCAR format:
```
Ga4BiAs3
1.0
4.179 0.000 0.000
0.000 4.196 5.944
0.000 -4.196 5.944
Ga Bi As
4 1 3
Cartesian
0.000 0.000 0.000 Ga
0.000 0.000 5.749 Ga
2.090 -2.208 8.672 Ga
2.090 2.208 8.672 Ga
2.090 0.000 10.219 Bi
0.000 -2.095 7.257 As
0.000 2.095 7.257 As
2.090 0.000 4.271 As
```

Output
Formation energy from the elements: -0.21 eV/atom

---

No. 8
Compound: BaMgZnCl6
Source: Alexandria via LeMat-Bulk
Functional: PBE
Structure: optimized geometry

The structure in POSCAR format:
```
BaMgZnCl6
1.0
6.553 0.000 0.000
-3.277 5.675 0.000
0.000 0.000 6.709
Ba Mg Zn Cl
1 1 1 6
Cartesian
0.000 0.000 0.000 Ba
0.000 3.783 3.354 Mg
3.277 1.892 3.354 Zn
2.454 0.019 4.785 Cl
1.243 2.115 1.924 Cl
4.100 0.019 1.924 Cl
2.066 3.541 4.785 Cl
5.310 2.115 4.785 Cl
4.487 3.541 1.924 Cl
```

Output
ΔE_f (raw): -1.8014 eV/atom

---

No. 9
Compound: BaLi3Zn
Source: Alexandria via LeMat-Bulk
Functional: PBE
Structure: optimized geometry

The structure in POSCAR format:
```
BaLi3Zn
1.0
7.626 0.000 0.000
0.000 4.477 0.000
-2.065 0.000 8.012
Ba Li Zn
2 6 2
Cartesian
1.024 1.119 1.502 Ba
4.537 3.358 6.510 Ba
-0.428 1.119 5.023 Li
0.894 3.358 7.203 Li
1.695 3.358 4.317 Li
3.865 1.119 3.695 Li
4.666 1.119 0.809 Li
5.989 3.358 2.989 Li
2.071 1.119 5.994 Zn
3.490 3.358 2.018 Zn
```

Output
Formation energy from the elements: -0.03 eV/atom

---

No. 10
Compound: SbOs
Source: Alexandria via LeMat-Bulk
Functional: PBE
Structure: optimized geometry

The structure in POSCAR format:
```
SbOs
1.0
2.987 0.000 0.000
0.000 4.268 0.000
-0.023 0.000 7.014
Sb Os
2 2
Cartesian
0.734 1.067 1.459 Sb
2.230 3.201 5.554 Sb
0.735 3.201 3.162 Os
2.229 1.067 3.852 Os
```

Output
ΔE_f (raw): 0.4331 eV/atom

---

No. 11
Compound: Ga2TcPO
Source: Alexandria via LeMat-Bulk
Functional: PBE
Structure: optimized geometry

The structure in POSCAR format:
```
Ga2TcPO
1.0
4.983 0.000 0.000
0.000 4.983 0.000
0.000 0.000 3.246
Ga Tc P O
2 1 1 1
Cartesian
0.000 2.492 0.000 Ga
2.492 0.000 0.000 Ga
0.000 0.000 1.623 Tc
2.492 2.492 0.000 P
2.492 2.492 1.623 O
```

Output
ΔE_f (raw): 0.3435 eV/atom

---

No. 12
Compound: InWI3
Source: Alexandria via LeMat-Bulk
Functional: PBE
Structure: optimized geometry

The structure in POSCAR format:
```
InWI3
1.0
5.925 0.000 0.000
0.000 5.925 0.000
0.000 0.000 5.925
In W I
1 1 3
Cartesian
0.000 0.000 0.000 In
2.962 2.962 2.962 W
0.000 0.000 2.962 I
0.000 2.962 0.000 I
2.962 0.000 0.000 I
```

Output
ΔE_f (raw): 1.1883 eV/atom

---

No. 13
Compound: ScReOF2
Source: Alexandria via LeMat-Bulk
Functional: PBE
Structure: optimized geometry

The structure in POSCAR format:
```
ScReOF2
1.0
4.459 0.000 0.000
0.000 4.459 0.000
0.000 0.000 3.748
Sc Re O F
1 1 1 2
Cartesian
0.000 0.000 0.000 Sc
2.229 2.229 1.874 Re
2.229 2.229 0.000 O
0.000 2.229 1.874 F
2.229 0.000 1.874 F
```

Output
ΔE_f (raw): -0.9800 eV/atom

---

No. 14
Compound: Ac2CeInAu6
Source: Alexandria via LeMat-Bulk
Functional: PBE
Structure: optimized geometry

The structure in POSCAR format:
```
Ac2CeInAu6
1.0
0.000 5.355 5.355
5.355 0.000 5.355
5.355 5.355 0.000
Ac Ce In Au
2 1 1 6
Cartesian
2.678 2.678 2.678 Ac
8.033 8.033 8.033 Ac
0.000 0.000 0.000 Ce
5.355 5.355 5.355 In
5.355 5.355 2.730 Au
5.355 2.730 5.355 Au
7.981 5.355 5.355 Au
2.730 5.355 5.355 Au
5.355 7.981 5.355 Au
5.355 5.355 7.981 Au
```

Output
Formation energy from the elements: -0.18 eV/atom

---

No. 15
Compound: Dy5Y2In
Source: Alexandria via LeMat-Bulk
Functional: PBE
Structure: optimized geometry

The structure in POSCAR format:
```
Dy5Y2In
1.0
-3.506 3.506 4.959
3.506 -3.506 4.959
3.506 3.506 -4.959
Dy Y In
5 2 1
Cartesian
0.000 0.000 0.000 Dy
1.753 1.753 -2.479 Dy
1.753 -1.753 2.479 Dy
-1.753 1.753 2.479 Dy
1.753 1.753 2.479 Dy
3.506 0.000 0.000 Y
0.000 3.506 0.000 Y
0.000 0.000 4.959 In
```

Output
Formation energy from the elements: -0.08 eV/atom

---

No. 16
Compound: Li3Ce2Ni12Ge
Source: Alexandria via LeMat-Bulk
Functional: PBE
Structure: optimized geometry

The structure in POSCAR format:
```
Li3Ce2Ni12Ge
1.0
3.029 1.749 8.183
-3.029 1.749 8.183
0.000 -3.497 8.183
Li Ce Ni Ge
3 2 12 1
Cartesian
-1.514 -0.874 8.183 Li
-1.514 0.874 16.366 Li
0.000 1.749 8.183 Li
0.000 0.000 3.333 Ce
0.000 0.000 21.216 Ce
-1.710 -0.987 10.863 Ni
0.000 -2.137 7.042 Ni
-1.850 1.068 7.042 Ni
-1.850 -1.068 17.507 Ni
0.000 -1.975 13.686 Ni
-1.710 0.987 13.686 Ni
1.710 -0.987 10.863 Ni
0.000 1.975 10.863 Ni
1.850 1.068 7.042 Ni
1.850 -1.068 17.507 Ni
0.000 2.137 17.507 Ni
1.710 0.987 13.686 Ni
0.000 0.000 12.274 Ge
```

Output
Formation energy from the elements: 0.05 eV/atom

---

No. 17
Compound: Ce7SiRu2
Source: Alexandria via LeMat-Bulk
Functional: PBE
Structure: optimized geometry

The structure in POSCAR format:
```
Ce7SiRu2
1.0
4.476 -6.542 0.000
4.476 6.542 0.000
0.000 0.000 4.871
Ce Si Ru
7 1 2
Cartesian
0.000 0.000 0.000 Ce
2.969 1.399 0.000 Ce
4.476 3.349 2.435 Ce
2.969 -1.399 0.000 Ce
5.983 1.399 0.000 Ce
4.476 -3.349 2.435 Ce
5.983 -1.399 0.000 Ce
4.476 0.000 2.435 Si
4.476 4.097 0.000 Ru
4.476 -4.097 0.000 Ru
```

Output
ΔE_f (raw): -0.0648 eV/atom

---

No. 18
Compound: La4HoZn5
Source: Alexandria via LeMat-Bulk
Functional: PBE
Structure: optimized geometry

The structure in POSCAR format:
```
La4HoZn5
1.0
3.715 0.000 0.000
0.000 3.715 0.000
0.000 0.000 18.640
La Ho Zn
4 1 5
Cartesian
0.000 0.000 1.903 La
0.000 0.000 5.722 La
0.000 0.000 12.917 La
0.000 0.000 16.737 La
0.000 0.000 9.320 Ho
1.858 1.858 0.000 Zn
1.858 1.858 3.787 Zn
1.858 1.858 7.712 Zn
1.858 1.858 10.928 Zn
1.858 1.858 14.852 Zn
```

Output
Formation energy from the elements: -0.31 eV/atom

---

No. 19
Compound: Rb6H5Au
Source: Alexandria via LeMat-Bulk
Functional: PBE
Structure: optimized geometry

The structure in POSCAR format:
```
Rb6H5Au
1.0
3.812 -6.600 0.000
3.812 6.600 0.000
-2.544 0.000 7.164
Rb H Au
6 5 1
Cartesian
1.131 2.397 1.747 Rb
-0.192 0.000 5.549 Rb
1.131 -2.397 1.747 Rb
3.949 2.397 5.417 Rb
5.273 0.000 1.615 Rb
3.949 -2.397 5.417 Rb
0.000 0.000 0.000 H
2.540 4.381 3.582 H
3.812 2.192 0.000 H
3.812 -2.192 0.000 H
2.540 -4.381 3.582 H
2.540 0.000 3.582 Au
```

Output
DFT total energy: -2.318 eV/atom

---

No. 20
Compound: Sc5Co3
Source: Alexandria via LeMat-Bulk
Functional: PBE
Structure: optimized geometry

The structure in POSCAR format:
```
Sc5Co3
1.0
3.399 -4.598 0.000
3.399 4.598 0.000
0.000 0.000 4.374
Sc Co
5 3
Cartesian
0.000 0.000 0.000 Sc
1.700 2.299 0.000 Sc
1.927 0.000 2.187 Sc
1.700 -2.299 0.000 Sc
4.871 0.000 2.187 Sc
3.399 2.542 2.187 Co
3.399 0.000 0.000 Co
3.399 -2.542 2.187 Co
```

Output
Formation energy from the elements: -0.16 eV/atom

---

No. 21
Compound: AlZnGe2Ru
Source: Alexandria via LeMat-Bulk
Functional: PBE
Structure: optimized geometry

The structure in POSCAR format:
```
AlZnGe2Ru
1.0
4.682 0.000 0.000
0.000 4.682 0.000
0.000 0.000 4.600
Al Zn Ge Ru
1 1 2 1
Cartesian
0.000 0.000 0.000 Al
0.000 0.000 2.300 Zn
0.000 2.341 2.300 Ge
2.341 0.000 2.300 Ge
2.341 2.341 0.000 Ru
```

Output
Formation energy from the elements: 1.11 eV/atom

---

No. 22
Compound: Dy3Zn11
Source: Alexandria via LeMat-Bulk
Functional: PBE
Structure: optimized geometry

The structure in POSCAR format:
```
Dy3Zn11
1.0
-2.217 4.380 6.460
2.217 -4.380 6.460
2.217 4.380 -6.460
Dy Zn
3 11
Cartesian
0.000 0.000 0.000 Dy
0.000 0.000 3.760 Dy
0.000 0.000 9.159 Dy
2.217 -1.235 1.998 Zn
2.217 -1.907 4.640 Zn
2.217 1.235 1.998 Zn
2.217 2.852 0.000 Zn
0.000 2.473 1.819 Zn
0.000 4.380 0.000 Zn
2.217 1.907 4.640 Zn
0.000 1.527 6.460 Zn
0.000 3.145 4.461 Zn
0.000 6.286 1.819 Zn
0.000 5.614 4.461 Zn
```

Output
Formation energy from the elements: -0.32 eV/atom

---

Number 1: spin magnetization 0.0 μB per cell, volume 286.82 Å³/f.u.. Number 2: spin magnetization 0.0 μB per cell, volume 164.44 Å³/f.u.. Number 3: spin magnetization 0.7 μB per cell, volume 49.49 Å³/f.u.. Number 4: spin magnetization 0.0 μB per cell, volume 166.42 Å³/f.u.. Number 5: spin magnetization 0.0 μB per cell, volume 105.13 Å³/f.u.. Number 6: spin magnetization 0.0 μB per cell, volume 208.15 Å³/f.u.. Number 7: spin magnetization 0.0 μB per cell, volume 208.49 Å³/f.u.. Number 8: spin magnetization 0.0 μB per cell, volume 249.52 Å³/f.u.. Number 9: spin magnetization 0.0 μB per cell, volume 136.76 Å³/f.u.. Number 10: spin magnetization 0.0 μB per cell, volume 44.70 Å³/f.u.. Number 11: spin magnetization 2.2 μB per cell, volume 80.59 Å³/f.u.. Number 12: spin magnetization 5.3 μB per cell, volume 207.97 Å³/f.u.. Number 13: spin magnetization 1.0 μB per cell, volume 74.52 Å³/f.u.. Number 14: spin magnetization 0.4 μB per cell, volume 307.19 Å³/f.u.. Number 15: spin magnetization 0.0 μB per cell, volume 243.80 Å³/f.u.. Number 16: spin magnetization 0.0 μB per cell, volume 260.02 Å³/f.u.. Number 17: spin magnetization 3.7 μB per cell, volume 285.27 Å³/f.u.. Number 18: spin magnetization 0.0 μB per cell, volume 257.27 Å³/f.u.. Number 19: spin magnetization 0.0 μB per cell, volume 360.50 Å³/f.u.. Number 20: spin magnetization 0.0 μB per cell, volume 136.71 Å³/f.u.. Number 21: spin magnetization 1.1 μB per cell, volume 100.83 Å³/f.u.. Number 22: spin magnetization 0.0 μB per cell, volume 250.86 Å³/f.u..